This record from Alexandria describes a relaxed CrPdS2N crystal. The functional is GGA-PBE.

```
CrPdS2N
1.0
4.8353 0.0000 0.0000
0.0000 4.8353 0.0000
0.0000 0.0000 3.6688
Pd S Cr N
1 2 1 1
Direct
0.0000 0.0000 0.0000
0.0000 0.5000 0.0000
0.5000 0.0000 0.0000
0.5000 0.5000 0.5000
0.0000 0.0000 0.5000
```

Summary:
The calculation puts the total DFT energy (no corrections) at -5.02 eV/atom. For the density of states at the Fermi level, the calculation gives 1.11 states/eV per atom. For the uncorrected formation energy, the calculation gives 6.31 eV per formula unit. As for the offset from the most stable computed form: 948 meV/atom.